1.
Here is Tm2Re3Tc after structural relaxation from Alexandria. Energies are from PBE.

The value obtained for the energy of formation from the pure elements is -245 meV per atom. As for the symmetry: C2/m.

Cell: 5.339 5.339 5.422 Å, 90.07 119.45 119.96°
Element x y z (fractional)
Tm 0.250 0.625 0.875
Tm 0.750 0.375 0.125
Re 0.500 0.500 0.500
Re 0.000 0.000 0.500
Re 0.500 0.000 0.500
Tc 0.000 0.000 0.000

---

2.
Here is Tm2ReTc3 after structural relaxation from Alexandria. Energies are from PBE.

The value obtained for the energy of formation from the pure elements is -223 meV per atom. As for the symmetry: R-3m.

Cell: 5.431 5.431 5.317 Å, 90.02 120.68 120.01°
Element x y z (fractional)
Tc 0.500 0.500 0.500
Tc 0.500 0.000 0.500
Tc 0.000 0.000 0.500
Tm 0.252 0.626 0.878
Tm 0.748 0.374 0.122
Re 0.000 0.000 0.000

---

| no. | uncorrected energy (eV/cell) |
| --- | --- |
| 1 | -58.12 |
| 2 | -53.83 |